Dy4Ho3Mg2 after structural relaxation, computed with PBE.

Summary:
uncorrected energy	-3.917	eV/atom
calculated formation energy	0.008	eV per atom
total magnetization	0.0	μB per cell

a b c (Å): 14.7594 4.9139 7.7757
angles (deg): 90.00 108.65 90.00
Last column: nearest neighbours and their distance in Å.
Space group C2/m (No. 12)
Symmetry-distinct sites (fractional):
Dy 0.0553 0.0000 0.3335 x4  6 Ho 3.47-3.48, 4 Dy 3.48-3.49, 2 Mg 3.49-3.52
Dy 0.2216 0.5000 0.3304 x4  3 Mg 3.44-3.46, 4 Ho 3.45-3.49, 5 Dy 3.48-3.50
Ho 0.0000 0.5000 0.0000 x2  6 Dy 3.45-3.47, 2 Ho 3.48, 4 Mg 3.50
Ho 0.1114 0.5000 0.6669 x4  3 Mg 3.44-3.47, 7 Dy 3.47-3.49, 2 Ho 3.48
Mg 0.1692 0.0000 0.9992 x4  2 Mg 3.42, 5 Dy 3.44-3.52, 5 Ho 3.44-3.50